Computed, not measured: a geometry-optimized Mo2HO6 structure at the PBE+U level of DFT.

## Properties
- Symmetry: Cm (8)
- Size of the total moment: 0.103 μB per atom
- Relative energy among the computed polymorphs: 0.56 kcal/mol of atoms

The structure in CIF format:
```
data_Mo2HO6
_cell_length_a 8.566
_cell_length_b 8.566
_cell_length_c 3.903
_cell_angle_alpha 92.22
_cell_angle_beta 92.22
_cell_angle_gamma 25.72
_space_group_name_H-M_alt 'P 1'
_space_group_IT_number 1
loop_
_space_group_symop_operation_xyz
'x,y,z'
loop_
_atom_site_label
_atom_site_fract_x
_atom_site_fract_y
_atom_site_fract_z
Mo1 0.079 0.079 0.773
Mo2 0.914 0.914 0.243
H1 0.771 0.771 0.009
O1 0.930 0.930 0.748
O2 0.050 0.050 0.268
O3 0.564 0.564 0.770
O4 0.425 0.425 0.246
O5 0.181 0.181 0.794
O6 0.800 0.800 0.234
```